Record 1
Compound: Zr2V2Mo
Source: Alexandria
Functional: PBE
Structure: optimized geometry

a b c (Å): 6.268 6.268 4.689
angles (deg): 90.00 90.00 90.00
Element x y z (fractional)
Zr (0.671, 0.829, 0.500)
Zr (0.171, 0.671, 0.500)
Zr (0.329, 0.171, 0.500)
Zr (0.829, 0.329, 0.500)
V (0.860, 0.640, 0.000)
V (0.360, 0.860, 0.000)
V (0.640, 0.140, 0.000)
V (0.140, 0.360, 0.000)
Mo (0.500, 0.500, 0.000)
Mo (0.000, 0.000, 0.000)

Summary:
E_form ... 175 meV/atom

=====

Record 2
Compound: Zr3VMo
Source: Alexandria
Functional: PBE
Structure: optimized geometry

a b c (Å): 5.024 5.024 5.024
angles (deg): 90.00 90.00 90.00
Site moments in Bohr magnetons follow the coordinates.
Element x y z (fractional)
Zr (0.500, 0.000, 0.000)  -0.12
Zr (0.000, 0.000, 0.500)  -0.12
Zr (0.000, 0.500, 0.000)  -0.12
V (0.500, 0.500, 0.500)  2.71
Mo (0.000, 0.000, 0.000)  -0.03

Summary:
E_form ... 979 meV/atom
Energy above the lowest structure with this stoichiometry ... 0.00 eV/f.u.

=====

Record 3
Compound: ZrVMo
Source: Alexandria
Functional: PBE
Structure: optimized geometry

a b c (Å): 3.002 4.449 4.449
angles (deg): 120.00 90.00 90.00
Element x y z (fractional)
V (0.709, 0.333, 0.667)
Zr (0.318, 0.667, 0.333)
Mo (0.973, 0.000, 0.000)

Summary:
E_form ... 91 meV/atom
Energy above the lowest structure with this stoichiometry ... 0.63 eV/f.u.

=====

Record 4
Compound: ZrV2Mo2
Source: Alexandria
Functional: PBE
Structure: optimized geometry

a b c (Å): 7.422 7.422 3.034
angles (deg): 90.00 90.00 90.00
Element x y z (fractional)
Zr (0.000, 0.000, 0.000)
Zr (0.500, 0.500, 0.000)
Mo (0.351, 0.149, 0.500)
Mo (0.649, 0.851, 0.500)
Mo (0.149, 0.649, 0.500)
Mo (0.851, 0.351, 0.500)
V (0.367, 0.867, 0.000)
V (0.867, 0.633, 0.000)
V (0.633, 0.133, 0.000)
V (0.133, 0.367, 0.000)

Summary:
E_form ... 284 meV/atom
Energy above the lowest structure with this stoichiometry ... 0.00 eV/f.u.

=====

Record 5
Compound: ZrVMo
Source: Alexandria
Functional: PBE
Structure: optimized geometry

a b c (Å): 5.293 5.293 5.293
angles (deg): 120.44 119.17 90.34
Element x y z (fractional)
Mo (0.000, 0.500, 0.000)
Mo (0.000, 0.000, 0.500)
Zr (0.375, 0.125, 0.250)
Zr (0.625, 0.875, 0.750)
V (0.000, 0.500, 0.500)
V (0.500, 0.500, 0.000)

Summary:
E_form ... -120 meV/atom
Energy above the lowest structure with this stoichiometry ... 0.00 eV/f.u.

=====

Record 6
Compound: MoW
Source: Alexandria
Functional: PBE
Structure: optimized geometry

a b c (Å): 4.005 4.005 5.372
angles (deg): 90.00 90.00 120.00
Element x y z (fractional)
Mo (0.333, 0.667, 0.250)
Mo (0.667, 0.333, 0.750)
W (0.000, 0.000, 0.000)
W (0.000, 0.000, 0.500)

Summary:
E_form ... 1034 meV/atom
Energy above the lowest structure with this stoichiometry ... 2.11 eV/f.u.

=====

Record 7
Compound: MoW2
Source: Alexandria
Functional: PBE
Structure: optimized geometry

a b c (Å): 5.290 5.290 6.338
angles (deg): 72.46 72.46 34.90
Element x y z (fractional)
Mo (0.639, 0.639, 0.222)
Mo (0.972, 0.972, 0.056)
W (0.306, 0.306, 0.889)
W (0.639, 0.639, 0.722)
W (0.305, 0.305, 0.388)
W (0.972, 0.972, 0.555)

Summary:
E_form ... -10 meV/atom
Energy above the lowest structure with this stoichiometry ... 0.02 eV/f.u.

=====

Record 8
Compound: MoW
Source: Alexandria
Functional: PBE
Structure: optimized geometry

a b c (Å): 2.654 4.645 5.307
angles (deg): 90.00 90.00 90.00
Element x y z (fractional)
Mo (0.000, 0.000, 0.000)
Mo (0.500, 0.500, 0.750)
W (0.500, 0.500, 0.251)
W (0.000, 0.000, 0.499)

Summary:
E_form ... 336 meV/atom
Energy above the lowest structure with this stoichiometry ... 0.71 eV/f.u.